No. 1
ZrBPb2Cl: optimized geometry, PBE.

```
5
Lattice="6.345 0.000 0.000 0.000 5.399 0.000 0.000 0.000 6.345" Properties=species:S:1:pos:R:3 pbc="T T T"
Cl 0.000 2.700 0.000
Zr 0.000 0.000 0.000
Pb 3.172 0.000 0.000
Pb 0.000 0.000 3.172
B 3.172 2.700 3.172
```

Summary:
The density of states at the Fermi level comes out at 5.73 states/eV/cell. As for the uncorrected formation energy: 1162 meV/atom. The space group is P4/mmm (123).


No. 2
BPd2Cl: optimized geometry, PBE.

```
4
Lattice="0.000 3.021 3.021 3.021 0.000 3.021 3.021 3.021 0.000" Properties=species:S:1:pos:R:3 pbc="T T T"
Pd 4.531 4.531 4.531
Pd 1.510 1.510 1.510
B 0.000 0.000 0.000
Cl 3.021 3.021 3.021
```

Summary:
The density of states at the Fermi level comes out at 0.62 states/eV/cell. The offset from the most stable computed form comes out at 55.76 kJ/mol of atoms. As for the uncorrected formation energy: 662 meV/atom. The space group is Fm-3m (225).


No. 3
BPd3Cl: optimized geometry, PBE.

```
5
Lattice="4.251 0.000 0.000 0.000 4.251 0.000 0.000 0.000 4.251" Properties=species:S:1:pos:R:3 pbc="T T T"
Pd 0.000 0.000 2.125
Pd 0.000 2.125 0.000
Pd 2.125 0.000 0.000
Cl 2.125 2.125 2.125
B 0.000 0.000 0.000
```

Summary:
The density of states at the Fermi level comes out at 0.79 states/eV/cell. As for the uncorrected formation energy: 100 meV/atom. The space group is Pm-3m (221).


No. 4
B2PdCl: optimized geometry, PBE.

```
8
Lattice="5.162 0.000 0.000 0.000 5.162 0.000 2.581 2.581 4.797" Properties=species:S:1:pos:R:3 pbc="T T T"
B 3.871 3.603 3.598
B 4.139 1.290 1.199
B 1.023 3.871 1.199
B 6.452 6.720 3.598
Cl 2.581 2.581 0.000
Cl 2.581 5.162 2.398
Pd 5.162 2.581 2.398
Pd 0.000 0.000 0.000
```

Summary:
The density of states at the Fermi level comes out at 4.63 states/eV/cell. The offset from the most stable computed form comes out at 0.00 kJ/mol of atoms. As for the uncorrected formation energy: 912 meV/atom. The space group is I-42d (122).


No. 5
BPdCl: optimized geometry, PBE.

```
6
Lattice="-2.102 1.964 -1.148 -3.238 -2.137 2.272 2.061 3.571 6.517" Properties=species:S:1:pos:R:3 pbc="T T T"
B -1.021 1.574 4.564
B -2.258 1.825 3.078
Cl -3.332 0.318 2.466
Cl 0.053 3.081 5.176
Pd -3.047 2.120 5.028
Pd -0.232 1.279 2.614
```

Summary:
As for the uncorrected formation energy: -213 meV/atom. The space group is C2/m (12).


No. 6
B2PdCl: optimized geometry, PBE.

```
4
Lattice="-1.444 -2.916 -2.702 -3.428 -2.276 0.978 -3.631 0.649 -2.070" Properties=species:S:1:pos:R:3 pbc="T T T"
B -6.377 -3.407 -2.845
B -2.126 -1.136 -0.948
Pd -4.251 -2.272 -1.897
Cl 0.000 0.000 0.000
```

Summary:
The density of states at the Fermi level comes out at 3.58 states/eV/cell. The offset from the most stable computed form comes out at 89.22 kJ/mol of atoms. As for the uncorrected formation energy: 1836 meV/atom. The space group is Fm-3m (225).